(1)
Density functional theory data (PBE) for a geometry-optimized NdCu2S2 structure.

Values from the calculation:
Total DFT energy (no corrections) ... -101.5 eV per cell
ΔE_f (raw) ... -400 kJ/mol of formula units

Cell: 8.2079 8.2017 7.2358 Å, 90.00 124.12 90.00°
Last column: nearest neighbours and their distance in Å.
Space group C2/c (No. 15)
Asymmetric unit:
1 Nd 0.0000 0.1261 0.2500 [4 per cell]  6 S 2.90
2 Cu 0.0000 0.5000 0.0000 [4 per cell]  2 S 2.15
3 Cu 0.2500 0.2500 0.0000 [4 per cell]  2 S 2.15
4 S 0.2424 0.1237 0.7347 [8 per cell]  2 Cu 2.15

=====

(2)
Density functional theory data (PBE) for a geometry-optimized NdCu2S3 structure.

Values from the calculation:
Total DFT energy (no corrections) ... -121.6 eV per cell
ΔE_f (raw) ... -487 kJ/mol of formula units

Cell: 8.2294 11.7581 4.8391 Å, 90.00 90.00 90.00°
Last column: nearest neighbours and their distance in Å.
Space group Cmcm (No. 63)
Asymmetric unit:
1 Nd 0.0000 0.2327 0.2500 [4 per cell]  8 S 2.89-3.08
2 Cu 0.1896 0.5000 0.0000 [8 per cell]  4 S 2.29-2.38, 2 Cu 2.42
3 S 0.0000 0.3869 0.7500 [4 per cell]  4 Cu 2.38
4 S 0.1959 0.1451 0.7500 [8 per cell]  2 Cu 2.29

=====

(3)
Density functional theory data (PBE) for a geometry-optimized NdCuS2 structure.

Values from the calculation:
Total DFT energy (no corrections) ... -90.6 eV per cell
ΔE_f (raw) ... -533 kJ/mol of formula units

Cell: 6.5147 7.2087 6.8942 Å, 90.00 97.54 90.00°
Last column: nearest neighbours and their distance in Å.
Space group P2_1/c (No. 14)
Asymmetric unit:
1 Nd 0.1910 0.0501 0.2998 [4 per cell]  7 S 2.84-3.11
2 Cu 0.4257 0.6646 0.4522 [4 per cell]  4 S 2.33-2.56
3 S 0.0845 0.7261 0.4986 [4 per cell]  1 Cu 2.33
4 S 0.4105 0.1147 0.7223 [4 per cell]  3 Cu 2.34-2.56

=====

(4)
Density functional theory data (PBE) for a geometry-optimized Nd3Cu5S12 structure.

Values from the calculation:
Total DFT energy (no corrections) ... -782.2 eV per cell
ΔE_f (raw) ... -1299 kJ/mol of formula units

Cell: 14.9053 14.9053 14.9053 Å, 90.00 90.00 90.00°
Last column: nearest neighbours and their distance in Å.
Space group Ia-3d (No. 230)
Asymmetric unit:
1 Nd 0.0000 0.2500 0.1250 [24 per cell]  8 S 2.88-2.96
2 Cu 0.0000 0.0000 0.0000 [16 per cell]  6 S 2.38
3 Cu 0.0000 0.2500 0.3750 [24 per cell]  4 S 2.25
4 S 0.0289 0.0547 0.6470 [96 per cell]  2 Cu 2.25-2.38

=====

| no. | M_tot (μB/f.u.) |
| --- | --- |
| 1 | 0.0 |
| 2 | 0.0 |
| 3 | 0.0 |
| 4 | 0.0 |